1.
Material: LaCuAg2
Method: DFT, GGA-PBE
State: relaxed

Computed properties:
energy relative to the elements	-0.63	eV/f.u.

Lattice parameters (Å, degrees): 8.060 4.646 5.471 90.00 119.20 90.00
Space group Cm (No. 8)
Symmetry-distinct sites (fractional):
La1 0.000 0.000 0.000 (multiplicity 2)
Cu1 0.212 0.000 0.634 (multiplicity 2)
Ag1 0.023 0.500 0.570 (multiplicity 2)
Ag2 0.285 0.500 0.356 (multiplicity 2)

=====

2.
Material: La3Cu2Ag
Method: DFT, GGA-PBE
State: relaxed

Computed properties:
energy relative to the elements	-1.06	eV/f.u.
offset from the most stable computed form	0	meV/atom

Lattice parameters (Å, degrees): 3.688 3.688 11.301 90.00 90.00 90.00
Space group P4/mmm (No. 123)
Symmetry-distinct sites (fractional):
La1 0.000 0.000 0.000 (multiplicity 1)
La2 0.000 0.000 0.320 (multiplicity 2)
Cu1 0.500 0.500 0.162 (multiplicity 2)
Ag1 0.500 0.500 0.500 (multiplicity 1)

=====

3.
Material: Li3La2Cu12Ag
Method: DFT, GGA-PBE
State: relaxed

Computed properties:
energy relative to the elements	2.36	eV/f.u.

Lattice parameters (Å, degrees): 5.9848 5.9848 29.0487 90.00 90.00 120.00
Space group R-3m (No. 166, hexagonal axes)
Symmetry-distinct sites (fractional):
Li1 0.0000 0.5000 0.0000 (multiplicity 9)
La1 0.0000 0.0000 0.1411 (multiplicity 6)
Cu1 0.0420 0.5210 0.0934 (multiplicity 18)
Cu2 0.0683 0.5342 0.6200 (multiplicity 18)
Ag1 0.0000 0.0000 0.5000 (multiplicity 3)